# LuCdCoBi PBE relaxed
data_LuCdCoBi
_chemical_formula_sum 'Lu4 Cd4 Co4 Bi4'
_symmetry_space_group_name_H-M 'P 1'
_symmetry_Int_Tables_number 1
_cell_length_a 6.9637
_cell_length_b 6.9637
_cell_length_c 6.9637
_cell_angle_alpha 90.00
_cell_angle_beta 90.00
_cell_angle_gamma 90.00
loop_
_symmetry_equiv_pos_as_xyz
'x,y,z'
loop_
_atom_site_label
_atom_site_fract_x
_atom_site_fract_y
_atom_site_fract_z
_atom_site_occupancy
Lu1 0.0000 0.0000 0.0000 1
Lu2 0.0000 0.5000 0.5000 1
Lu3 0.5000 0.0000 0.5000 1
Lu4 0.5000 0.5000 0.0000 1
Cd1 0.2500 0.2500 0.2500 1
Cd2 0.2500 0.7500 0.7500 1
Cd3 0.7500 0.2500 0.7500 1
Cd4 0.7500 0.7500 0.2500 1
Co1 0.2500 0.2500 0.7500 1
Co2 0.2500 0.7500 0.2500 1
Co3 0.7500 0.2500 0.2500 1
Co4 0.7500 0.7500 0.7500 1
Bi1 0.0000 0.0000 0.5000 1
Bi2 0.0000 0.5000 0.0000 1
Bi3 0.5000 0.0000 0.0000 1
Bi4 0.5000 0.5000 0.5000 1
# raw total energy = -16.129 eV/f.u.
# offset from the most stable computed form = 2.06 kJ/mol of atoms
# magnetization = 1.7 μB/cell

---

# CdCoBiMo PBE relaxed
data_CdCoBiMo
_chemical_formula_sum 'Cd4 Co4 Bi4 Mo4'
_symmetry_space_group_name_H-M 'P 1'
_symmetry_Int_Tables_number 1
_cell_length_a 6.5788
_cell_length_b 6.5788
_cell_length_c 6.5788
_cell_angle_alpha 90.00
_cell_angle_beta 90.00
_cell_angle_gamma 90.00
loop_
_symmetry_equiv_pos_as_xyz
'x,y,z'
loop_
_atom_site_label
_atom_site_fract_x
_atom_site_fract_y
_atom_site_fract_z
_atom_site_occupancy
Cd1 0.0000 0.0000 0.0000 1
Cd2 0.0000 0.5000 0.5000 1
Cd3 0.5000 0.0000 0.5000 1
Cd4 0.5000 0.5000 0.0000 1
Co1 0.2500 0.2500 0.7500 1
Co2 0.2500 0.7500 0.2500 1
Co3 0.7500 0.2500 0.2500 1
Co4 0.7500 0.7500 0.7500 1
Bi1 0.0000 0.0000 0.5000 1
Bi2 0.0000 0.5000 0.0000 1
Bi3 0.5000 0.0000 0.0000 1
Bi4 0.5000 0.5000 0.5000 1
Mo1 0.2500 0.2500 0.2500 1
Mo2 0.2500 0.7500 0.7500 1
Mo3 0.7500 0.2500 0.7500 1
Mo4 0.7500 0.7500 0.2500 1
# raw total energy = -20.050 eV/f.u.
# offset from the most stable computed form = 0.00 kJ/mol of atoms
# magnetization = 2.7 μB/cell

---

# CdCoNiBi PBE relaxed
data_CdCoNiBi
_chemical_formula_sum 'Cd4 Co4 Ni4 Bi4'
_symmetry_space_group_name_H-M 'P 1'
_symmetry_Int_Tables_number 1
_cell_length_a 6.4555
_cell_length_b 6.4555
_cell_length_c 6.4555
_cell_angle_alpha 90.00
_cell_angle_beta 90.00
_cell_angle_gamma 90.00
loop_
_symmetry_equiv_pos_as_xyz
'x,y,z'
loop_
_atom_site_label
_atom_site_fract_x
_atom_site_fract_y
_atom_site_fract_z
_atom_site_occupancy
Cd1 0.0000 0.0000 0.0000 1
Cd2 0.0000 0.5000 0.5000 1
Cd3 0.5000 0.0000 0.5000 1
Cd4 0.5000 0.5000 0.0000 1
Co1 0.2500 0.2500 0.7500 1
Co2 0.2500 0.7500 0.2500 1
Co3 0.7500 0.2500 0.2500 1
Co4 0.7500 0.7500 0.7500 1
Ni1 0.2500 0.2500 0.2500 1
Ni2 0.2500 0.7500 0.7500 1
Ni3 0.7500 0.2500 0.7500 1
Ni4 0.7500 0.7500 0.2500 1
Bi1 0.0000 0.0000 0.5000 1
Bi2 0.0000 0.5000 0.0000 1
Bi3 0.5000 0.0000 0.0000 1
Bi4 0.5000 0.5000 0.5000 1
# raw total energy = -16.367 eV/f.u.
# offset from the most stable computed form = 0.00 kJ/mol of atoms
# magnetization = 0.2 μB/cell

---

# CdCoBiOs PBE relaxed
data_CdCoBiOs
_chemical_formula_sum 'Cd4 Co4 Bi4 Os4'
_symmetry_space_group_name_H-M 'P 1'
_symmetry_Int_Tables_number 1
_cell_length_a 6.5206
_cell_length_b 6.5206
_cell_length_c 6.5206
_cell_angle_alpha 90.00
_cell_angle_beta 90.00
_cell_angle_gamma 90.00
loop_
_symmetry_equiv_pos_as_xyz
'x,y,z'
loop_
_atom_site_label
_atom_site_fract_x
_atom_site_fract_y
_atom_site_fract_z
_atom_site_occupancy
Cd1 0.0000 0.0000 0.0000 1
Cd2 0.0000 0.5000 0.5000 1
Cd3 0.5000 0.0000 0.5000 1
Cd4 0.5000 0.5000 0.0000 1
Co1 0.2500 0.2500 0.7500 1
Co2 0.2500 0.7500 0.2500 1
Co3 0.7500 0.2500 0.2500 1
Co4 0.7500 0.7500 0.7500 1
Bi1 0.0000 0.0000 0.5000 1
Bi2 0.0000 0.5000 0.0000 1
Bi3 0.5000 0.0000 0.0000 1
Bi4 0.5000 0.5000 0.5000 1
Os1 0.2500 0.2500 0.2500 1
Os2 0.2500 0.7500 0.7500 1
Os3 0.7500 0.2500 0.7500 1
Os4 0.7500 0.7500 0.2500 1
# raw total energy = -20.431 eV/f.u.
# offset from the most stable computed form = 0.00 kJ/mol of atoms
# magnetization = 2.2 μB/cell